An optimized crystal structure of SrAcTlBr6, computed with PBE-GGA.

The value obtained for the magnetic moment is 0.0000 μB per atom. The uncorrected formation energy is -1797.2 meV per atom. The space-group type is No. 163. As for the calculated density: 4.26 g cm⁻³. The density of states at the Fermi level comes out at 0.000 states/eV/atom.

Cell: 7.9849 7.9849 14.0939 Å, 90.00 90.00 120.00°
Element x y z (fractional)
Br: 0.6407 0.0023 0.8694
Br: 0.6384 0.6407 0.1306
Sr: 0.3333 0.6667 0.7500
Br: 0.3616 0.3593 0.8694
Br: 0.0023 0.6407 0.3694
Br: 0.6384 0.9977 0.3694
Br: 0.3593 0.9977 0.1306
Tl: 0.0000 0.0000 0.0000
Tl: 0.0000 0.0000 0.5000
Br: 0.9977 0.3593 0.6306
Br: 0.3616 0.0023 0.6306
Br: 0.6407 0.6384 0.6306
Ac: 0.6667 0.3333 0.7500
Sr: 0.6667 0.3333 0.2500
Ac: 0.3333 0.6667 0.2500
Br: 0.3593 0.3616 0.3694
Br: 0.0023 0.3616 0.1306
Br: 0.9977 0.6384 0.8694